i.
RbNi2: relaxed, PBE.

Cell and atoms, written as POSCAR:
```
RbNi2
1.0
-5.1651 0.6759 1.5026
0.1756 -4.6903 2.7135
1.7256 2.7742 4.6836
Ni Rb
4 2
Cartesian
-1.7877 -1.4384 1.5106
-3.2018 -2.5761 2.7055
0.2816 -2.5428 4.8837
-3.5455 1.3026 4.0160
-1.6319 -0.6201 4.4498
0.0000 0.0000 0.0000
```

---

ii.
RbNi2: relaxed, PBE.

Cell and atoms, written as POSCAR:
```
RbNi2
1.0
0.0000 3.7727 3.7727
3.7727 0.0000 3.7727
3.7727 3.7727 0.0000
Ni Rb
4 2
Cartesian
2.8295 4.7159 2.8295
2.8295 2.8295 4.7159
4.7159 4.7159 4.7159
4.7159 2.8295 2.8295
0.0000 0.0000 0.0000
1.8864 1.8864 1.8864
```

---

The most stable of them is ii.

---

i.
Rb2Ni: relaxed, PBE.

Cell and atoms, written as POSCAR:
```
Rb2Ni
1.0
-4.0720 -4.6240 3.4410
-5.4977 2.2787 3.7930
-6.5805 -1.2457 -2.2244
Rb Ni
4 2
Cartesian
-6.8036 -1.6216 4.2432
-10.0939 -2.2444 3.1310
-8.0579 0.0676 1.4105
-7.3450 -3.3837 1.2345
-4.0375 -0.8978 1.2524
0.0000 0.0000 0.0000
```

---

ii.
Rb2Ni: relaxed, PBE.

Cell and atoms, written as POSCAR:
```
Rb2Ni
1.0
0.0000 4.0061 4.0061
4.0061 0.0000 4.0061
4.0061 4.0061 0.0000
Ni Rb
1 2
Cartesian
0.0000 0.0000 0.0000
2.0030 2.0030 2.0030
6.0091 6.0091 6.0091
```

---

The most stable of them is ii.

---

i.
RbSmNiS3: relaxed, PBE.

Cell and atoms, written as POSCAR:
```
RbSmNiS3
1.0
-2.3107 -2.1885 2.7025
8.8551 -6.1864 2.5615
2.9047 7.8021 8.8019
S Rb Sm Ni
12 4 4 4
Cartesian
6.6336 -2.9407 4.9030
6.3517 1.3989 8.1764
5.5687 4.4541 9.9811
7.3533 -0.4293 10.7775
0.5883 1.1164 6.2450
3.0974 -1.9717 5.8895
2.2707 5.4229 7.9457
8.8608 -1.6892 7.8209
2.8156 2.3679 9.1628
2.0958 -0.1435 3.2883
3.8804 -5.0269 4.0848
7.1784 -5.9957 6.1202
5.5737 -1.9215 8.0475
9.7014 2.0119 11.5369
-0.2523 -2.5847 2.5290
3.8754 1.3487 6.0184
4.2104 -2.3093 3.3425
5.2388 1.7365 10.7234
0.2941 3.4409 7.8759
9.1550 -4.0137 6.1900
3.9993 4.0565 8.3172
1.2750 -0.8573 5.2337
8.1741 0.2845 8.8321
5.4498 -4.6293 5.7487
```

---

ii.
RbSmNiS3: relaxed, PBE.

Cell and atoms, written as POSCAR:
```
RbSmNiS3
1.0
-4.1146 4.5795 -4.3929
-6.3992 3.8604 -1.1605
4.2436 8.5048 4.8913
S Rb Ni Sm
6 2 2 2
Cartesian
-6.7907 14.3847 -1.5996
-2.1967 6.8136 -0.0368
-4.0735 10.1311 -0.6253
-3.6734 3.8542 -1.7389
0.5205 2.5600 0.9374
-2.5968 13.0905 1.0767
-6.7372 8.3861 -2.8962
0.4670 8.5586 2.2340
-3.8700 6.0844 -1.3817
-2.4002 10.8602 0.7195
0.0000 0.0000 0.0000
2.1218 4.2524 2.4457
```

---

The most stable of them is ii.

---

i.
RbScNi: relaxed, PBE.

Cell and atoms, written as POSCAR:
```
RbScNi
1.0
-4.3412 -0.6934 2.1066
-3.9304 2.3369 -1.6899
-3.4827 -2.4723 -2.3502
Sc Ni Rb
1 1 1
Cartesian
-8.8158 -0.6215 -1.4501
0.0000 0.0000 0.0000
-2.9386 -0.2072 -0.4834
```

---

ii.
RbScNi: relaxed, PBE.

Cell and atoms, written as POSCAR:
```
RbScNi
1.0
-0.2745 -3.4502 3.2841
1.8190 0.7014 4.3547
-2.9093 0.5004 3.7484
Ni Rb Sc
1 1 1
Cartesian
-0.3412 -0.5621 2.8468
0.0000 0.0000 0.0000
-1.0236 -1.6863 8.5404
```

---

The most stable of them is i.